[1]
DFT (PBE) results for crystalline AsS2NF at its relaxed geometry.

Output
The space group is P4/mmm. The calculation puts the formation energy without anion corrections at 1552 meV/atom. The value obtained for the total energy is -3.068 eV/atom. For the density of states at the Fermi level, the calculation gives 0.62 states/eV per atom.

CIF file:
```
data_AsS2NF
_symmetry_space_group_name_H-M 'P 1'
_symmetry_Int_Tables_number 1
_symmetry_space_group_name_Hall 'P 1'
_cell_length_a 4.562
_cell_length_b 4.562
_cell_length_c 3.757
_cell_angle_alpha 90.00
_cell_angle_beta 90.00
_cell_angle_gamma 90.00
loop_
_atom_site_label
_atom_site_type_symbol
_atom_site_fract_x
_atom_site_fract_y
_atom_site_fract_z
As1 As 0.500 0.500 0.500
F1 F 0.000 0.000 0.000
S1 S 0.500 0.000 0.000
S2 S 0.000 0.500 0.000
N1 N 0.000 0.000 0.500
```


[2]
DFT (PBE) results for crystalline AsS3N2F6 at its relaxed geometry.

Output
The space group is P-1. The calculation puts the formation energy without anion corrections at -1109 meV/atom. The value obtained for the total energy is -4.851 eV/atom.

CIF file:
```
data_AsS3N2F6
_symmetry_space_group_name_H-M 'P 1'
_symmetry_Int_Tables_number 1
_symmetry_space_group_name_Hall 'P 1'
_cell_length_a 5.810
_cell_length_b 8.024
_cell_length_c 9.669
_cell_angle_alpha 88.71
_cell_angle_beta 99.40
_cell_angle_gamma 105.77
loop_
_atom_site_label
_atom_site_type_symbol
_atom_site_fract_x
_atom_site_fract_y
_atom_site_fract_z
S1 S 0.527 0.209 0.150
S2 S 0.723 0.642 0.804
S3 S 0.457 0.739 0.566
S4 S 0.277 0.358 0.196
S5 S 0.543 0.261 0.434
S6 S 0.473 0.791 0.850
N1 N 0.654 0.647 0.637
N2 N 0.365 0.814 0.690
N3 N 0.635 0.186 0.310
N4 N 0.346 0.353 0.363
F1 F 0.837 0.221 0.872
F2 F 0.688 0.765 0.318
F3 F 0.312 0.235 0.682
F4 F 0.116 0.034 0.858
F5 F 0.287 0.351 0.916
F6 F 0.163 0.779 0.128
F7 F 0.884 0.966 0.142
F8 F 0.713 0.649 0.084
F9 F 0.860 0.100 0.638
F10 F 0.966 0.580 0.304
F11 F 0.034 0.420 0.696
F12 F 0.140 0.900 0.362
As1 As 0.928 0.775 0.224
As2 As 0.072 0.225 0.776
```


[3]
DFT (PBE) results for crystalline SbAsN2F at its relaxed geometry.

Output
The space group is P4/mmm. The calculation puts the formation energy without anion corrections at 673 meV/atom. The value obtained for the total energy is -4.786 eV/atom. For the density of states at the Fermi level, the calculation gives 0.30 states/eV per atom.

CIF file:
```
data_SbAsN2F
_symmetry_space_group_name_H-M 'P 1'
_symmetry_Int_Tables_number 1
_symmetry_space_group_name_Hall 'P 1'
_cell_length_a 4.141
_cell_length_b 4.141
_cell_length_c 4.062
_cell_angle_alpha 90.00
_cell_angle_beta 90.00
_cell_angle_gamma 90.00
loop_
_atom_site_label
_atom_site_type_symbol
_atom_site_fract_x
_atom_site_fract_y
_atom_site_fract_z
Sb1 Sb 0.000 0.000 0.000
As1 As 0.500 0.500 0.500
F1 F 0.000 0.000 0.500
N1 N 0.000 0.500 0.000
N2 N 0.500 0.000 0.000
```


[4]
DFT (PBE) results for crystalline SbAsNF2 at its relaxed geometry.

Output
The space group is P4/mmm. The calculation puts the formation energy without anion corrections at -147 meV/atom. The value obtained for the total energy is -4.315 eV/atom. For the density of states at the Fermi level, the calculation gives 0.35 states/eV per atom.

CIF file:
```
data_SbAsNF2
_symmetry_space_group_name_H-M 'P 1'
_symmetry_Int_Tables_number 1
_symmetry_space_group_name_Hall 'P 1'
_cell_length_a 4.321
_cell_length_b 4.321
_cell_length_c 4.424
_cell_angle_alpha 90.00
_cell_angle_beta 90.00
_cell_angle_gamma 90.00
loop_
_atom_site_label
_atom_site_type_symbol
_atom_site_fract_x
_atom_site_fract_y
_atom_site_fract_z
F1 F 0.500 0.000 0.000
F2 F 0.000 0.500 0.000
N1 N 0.000 0.000 0.500
As1 As 0.500 0.500 0.500
Sb1 Sb 0.000 0.000 0.000
```